First-principles (PBEsol) data for an optimized crystal structure of CsAsSBr2, as listed in Alexandria via LeMat-Bulk.

abc: 5.8934 5.8934 4.5280
angles: 90.00 90.00 90.00
Positions (direct):
Cs  0.0000  0.0000  0.0000
As  0.5000  0.5000  0.0000
S  0.5000  0.5000  0.5000
Br  0.0000  0.5000  0.5000
Br  0.5000  0.0000  0.5000

Values from the calculation:
The symmetry is P4/mmm, No. 123. The value obtained for the formation energy (no corrections) is -0.277 eV per atom.

---

First-principles (PBEsol) data for an optimized crystal structure of LiPdAu2, as listed in Alexandria via LeMat-Bulk.

abc: 4.4315 4.4315 4.4315
angles: 60.00 60.00 60.00
Positions (direct):
Li  0.0000  0.0000  0.0000
Pd  0.5000  0.5000  0.5000
Au  0.2500  0.2500  0.2500
Au  0.7500  0.7500  0.7500

Values from the calculation:
The symmetry is Fm-3m, No. 225. For the formation energy, the calculation gives -0.311 eV per atom.

---

First-principles (PBEsol) data for an optimized crystal structure of TcP2Pb, as listed in Alexandria via LeMat-Bulk.

abc: 4.5497 4.5497 4.5497
angles: 60.00 60.00 60.00
Positions (direct):
Tc  0.0000  0.0000  0.0000
P  0.5000  0.5000  0.5000
P  0.7500  0.7500  0.7500
Pb  0.2500  0.2500  0.2500

Values from the calculation:
The symmetry is F-43m, No. 216. For the formation energy, the calculation gives 0.804 eV per atom.

---

First-principles (PBEsol) data for an optimized crystal structure of Al2CoSb, as listed in Alexandria via LeMat-Bulk.

abc: 4.3545 3.1310 5.0728
angles: 90.00 110.31 90.00
Positions (direct):
Al  0.0000  0.0000  0.0000
Al  0.5000  0.5000  0.0000
Co  0.0000  0.5000  0.5000
Sb  0.5000  0.0000  0.5000

Values from the calculation:
The symmetry is P2/m, No. 10. The value obtained for the formation energy (no corrections) is 0.174 eV per atom.

---

First-principles (PBEsol) data for an optimized crystal structure of KCd2Se, as listed in Alexandria via LeMat-Bulk.

abc: 5.3387 3.0238 6.6321
angles: 90.00 113.66 90.00
Positions (direct):
K  0.0000  0.0000  0.0000
Cd  0.0000  0.0000  0.5000
Cd  0.5000  0.5000  0.5000
Se  0.5000  0.5000  0.0000

Values from the calculation:
The symmetry is P2/m, No. 10. The value obtained for the formation energy (no corrections) is -0.220 eV per atom.

---

First-principles (PBEsol) data for an optimized crystal structure of MgPt2Au, as listed in Alexandria via LeMat-Bulk.

abc: 4.8692 4.8692 4.8692
angles: 131.86 131.86 70.44
Positions (direct):
Mg  0.0000  0.0000  0.0000
Pt  0.2500  0.7500  0.5000
Pt  0.7500  0.2500  0.5000
Au  0.5000  0.5000  0.0000

Values from the calculation:
The symmetry is I4/mmm, No. 139. For the formation energy, the calculation gives -0.457 eV per atom.

---

First-principles (PBEsol) data for an optimized crystal structure of LiSiTe2, as listed in Alexandria via LeMat-Bulk.

abc: 3.9134 6.8973 6.8973
angles: 31.98 90.00 90.00
Positions (direct):
Li  0.0000  0.0000  0.0000
Si  0.5000  0.7378  0.7378
Te  0.0000  0.2895  0.2895
Te  0.5000  0.5488  0.5488

Values from the calculation:
The symmetry is Amm2, No. 38. The value obtained for the formation energy (no corrections) is -0.267 eV per atom. The relative energy among the computed polymorphs is 0.30 eV/f.u.

---

First-principles (PBEsol) data for an optimized crystal structure of MgTeSe2, as listed in Alexandria via LeMat-Bulk.

abc: 8.6999 8.6999 8.6999
angles: 143.57 143.57 52.47
Positions (direct):
Mg  0.0000  0.0000  0.0000
Mg  0.7500  0.2500  0.5000
Te  0.2500  0.7500  0.5000
Te  0.5000  0.5000  0.0000
Se  0.1082  0.6250  0.9832
Se  0.3750  0.3582  0.4832
Se  0.6418  0.1250  0.0168
Se  0.8750  0.8918  0.5168

Values from the calculation:
The symmetry is I-42d, No. 122. The value obtained for the formation energy (no corrections) is -0.252 eV per atom. The relative energy among the computed polymorphs is 0.22 eV/f.u.

---

First-principles (PBEsol) data for an optimized crystal structure of VAs2H4O9, as listed in Alexandria via LeMat-Bulk.

abc: 9.1219 9.1219 7.8482
angles: 90.00 90.00 90.00
Positions (direct):
V  0.2500  0.2500  0.1988
V  0.2500  0.2500  0.6988
V  0.7500  0.7500  0.3012
V  0.7500  0.7500  0.8012
As  0.0355  0.5355  0.2500
As  0.0355  0.9645  0.7500
As  0.4645  0.5355  0.7500
As  0.4645  0.9645  0.2500
As  0.5355  0.0355  0.7500
As  0.5355  0.4645  0.2500
As  0.9645  0.0355  0.2500
As  0.9645  0.4645  0.7500
H  0.0838  0.7139  0.0391
H  0.0838  0.7861  0.5391
H  0.2139  0.5838  0.4609
H  0.2139  0.9162  0.9609
H  0.2861  0.5838  0.9609
H  0.2861  0.9162  0.4609
H  0.4162  0.7139  0.5391
H  0.4162  0.7861  0.0391
H  0.5838  0.2139  0.9609
H  0.5838  0.2861  0.4609
H  0.7139  0.0838  0.5391
H  0.7139  0.4162  0.0391
H  0.7861  0.0838  0.0391
H  0.7861  0.4162  0.5391
H  0.9162  0.2139  0.4609
H  0.9162  0.2861  0.9609
O  0.0663  0.1467  0.7436
O  0.0663  0.3533  0.2436
O  0.1124  0.6186  0.4313
O  0.1124  0.8814  0.9313
O  0.1186  0.6124  0.0687
O  0.1186  0.8876  0.5687
O  0.1467  0.0663  0.2436
O  0.1467  0.4337  0.7436
O  0.2500  0.2500  0.4923
O  0.2500  0.2500  0.9923
O  0.3533  0.0663  0.7436
O  0.3533  0.4337  0.2436
O  0.3814  0.6124  0.5687
O  0.3814  0.8876  0.0687
O  0.3876  0.6186  0.9313
O  0.3876  0.8814  0.4313
O  0.4337  0.1467  0.2436
O  0.4337  0.3533  0.7436
O  0.5663  0.6467  0.2564
O  0.5663  0.8533  0.7564
O  0.6124  0.1186  0.5687
O  0.6124  0.3814  0.0687
O  0.6186  0.1124  0.9313
O  0.6186  0.3876  0.4313
O  0.6467  0.5663  0.7564
O  0.6467  0.9337  0.2564
O  0.7500  0.7500  0.0077
O  0.7500  0.7500  0.5077
O  0.8533  0.5663  0.2564
O  0.8533  0.9337  0.7564
O  0.8814  0.1124  0.4313
O  0.8814  0.3876  0.9313
O  0.8876  0.1186  0.0687
O  0.8876  0.3814  0.5687
O  0.9337  0.6467  0.7564
O  0.9337  0.8533  0.2564

Values from the calculation:
The symmetry is P4/ncc, No. 130. The electronic total energy comes out at -405.920 eV/cell.

---

First-principles (PBEsol) data for an optimized crystal structure of Si3Tc2, as listed in Alexandria via LeMat-Bulk.

abc: 9.5686 9.5686 9.5686
angles: 17.32 17.32 17.32
Positions (direct):
Si  0.0000  0.0000  0.0000
Si  0.2019  0.2019  0.2019
Si  0.7981  0.7981  0.7981
Tc  0.4007  0.4007  0.4007
Tc  0.5993  0.5993  0.5993

Values from the calculation:
The symmetry is R-3m, No. 166. The value obtained for the formation energy (no corrections) is -0.258 eV per atom.

---

First-principles (PBEsol) data for an optimized crystal structure of NaNbBi2W, as listed in Alexandria via LeMat-Bulk.

abc: 5.0993 5.0993 4.7992
angles: 90.00 90.00 90.00
Positions (direct):
Na  0.0000  0.0000  0.0000
Nb  0.0000  0.0000  0.5000
Bi  0.0000  0.5000  0.0000
Bi  0.5000  0.0000  0.0000
W  0.5000  0.5000  0.5000

Values from the calculation:
The symmetry is P4/mmm, No. 123. For the formation energy, the calculation gives 2.256 eV per atom.

---

First-principles (PBEsol) data for an optimized crystal structure of BaLi3Cu, as listed in Alexandria via LeMat-Bulk.

abc: 5.0228 5.0228 5.0228
angles: 90.00 90.00 90.00
Positions (direct):
Ba  0.0000  0.0000  0.0000
Li  0.0000  0.5000  0.5000
Li  0.5000  0.0000  0.5000
Li  0.5000  0.5000  0.0000
Cu  0.5000  0.5000  0.5000

Values from the calculation:
The symmetry is Pm-3m, No. 221. For the formation energy, the calculation gives 0.149 eV per atom.